Computed, not measured: a relaxed Cd5Hg3Br16 crystal at the PBE level of DFT.

Lattice parameters (Å, degrees): 8.208 8.208 12.966 89.71 89.71 59.99
Atoms (fractional coordinates):
Cd  0.339  0.831  0.785
Cd  0.665  0.665  0.522
Cd  0.831  0.339  0.785
Cd  0.169  0.169  0.285
Cd  0.332  0.332  0.020
Hg  0.832  0.832  0.784
Hg  0.168  0.662  0.284
Hg  0.662  0.168  0.284
Br  0.328  0.838  0.408
Br  0.509  0.509  0.658
Br  0.665  0.665  0.907
Br  0.003  0.003  0.671
Br  0.003  0.003  0.170
Br  0.838  0.328  0.408
Br  0.506  0.983  0.655
Br  0.983  0.506  0.655
Br  0.164  0.164  0.905
Br  0.836  0.836  0.410
Br  0.017  0.488  0.155
Br  0.488  0.017  0.155
Br  0.331  0.331  0.408
Br  0.166  0.673  0.908
Br  0.492  0.492  0.152
Br  0.673  0.166  0.908

Calculated values
For the total magnetization, the calculation gives 0.000 μB per cell. For the energy, the calculation gives -48.25 eV for the cell shown.